Ac2Cu3As4Ir | PBE | optimized geometry

Summary:
The volume comes out at 197 Å³/cell. The calculation puts the formation enthalpy at 0 K at -0.61 eV/atom. As for the space-group type: P-4m2, No. 115. The value obtained for the total DFT energy (no corrections) is -5.4042 eV per atom.

Cell lengths 4.463, 4.463, 9.904 Å; angles 90.00, 90.00, 90.00 degrees
Sites, in units of the cell vectors:
Ac 0.000 0.500 0.246
Ac 0.500 0.000 0.754
Cu 0.000 0.000 0.000
Cu 0.000 0.500 0.621
Cu 0.500 0.000 0.379
As 0.000 0.000 0.500
As 0.000 0.500 0.873
As 0.500 0.000 0.127
As 0.500 0.500 0.500
Ir 0.500 0.500 0.000